Record 1
This record from the Alexandria database describes a geometry-optimized LiIr2Rh structure. The functional is PBE-GGA.

The structure belongs to space group Imm2 (No. 44); the cell edges are 2.882, 4.377 and 8.453 Å and the angles 90.00°, 90.00° and 90.00°. The inequivalent atoms are Li at (0.000, 0.000, 0.000), Ir at (0.000, 0.000, 0.502), Ir at (0.000, 0.500, 0.736) and Rh at (0.000, 0.500, 0.271).

The formation energy comes out at 0.037 eV/atom. The calculation puts the total energy at -6.709 eV/atom.

Record 2
This record from the Alexandria database describes a geometry-optimized LiIr2Rh structure. The functional is PBE-GGA.

The structure belongs to space group I-42d (No. 122); the cell edges are 3.686, 3.686 and 17.735 Å and the angles 90.00°, 90.00° and 90.00°. The inequivalent atoms are Li at (0.000, 0.000, 0.000), Ir at (0.232, 0.250, 0.125) and Rh at (0.000, 0.000, 0.500).

The formation energy comes out at 0.401 eV/atom. The calculation puts the total energy at -6.346 eV/atom.

Record 3
This record from the Alexandria database describes a geometry-optimized LiIr2Rh structure. The functional is PBE-GGA.

The structure belongs to space group Pm (No. 6); the cell edges are 2.686, 4.102 and 5.146 Å and the angles 90.00°, 105.06° and 90.00°. The inequivalent atoms are Li at (0.000, 0.000, 0.000), Ir at (0.247, 0.000, 0.506), Ir at (0.855, 0.500, 0.723) and Rh at (0.594, 0.500, 0.200).

The formation energy comes out at -0.045 eV/atom. The calculation puts the total energy at -6.792 eV/atom.

Record 4
This record from the Alexandria database describes a geometry-optimized Li3IrRh3 structure. The functional is PBE-GGA.

The structure belongs to space group R3m (No. 160, hexagonal axes); the cell edges are 7.5385, 7.5385 and 6.2638 Å and the angles 90.00°, 90.00° and 120.00°. The inequivalent atoms are Li at (0.0937, 0.5468, 0.0000), Ir at (0.0000, 0.0000, 0.0108) and Rh at (0.0388, 0.5194, 0.4035).

The formation energy comes out at 0.054 eV/atom. The calculation puts the total energy at -5.183 eV/atom.

Record 5
This record from the Alexandria database describes a geometry-optimized LiIr2Rh8 structure. The functional is PBE-GGA.

The structure belongs to space group Immm (No. 71); the cell edges are 4.330, 5.627 and 12.820 Å and the angles 90.00°, 90.00° and 90.00°. The inequivalent atoms are Li at (0.000, 0.000, 0.000), Ir at (0.000, 0.000, 0.311), Rh at (0.000, 0.232, 0.500), Rh at (0.000, 0.266, 0.135) and Rh at (0.000, 0.500, 0.324).

The formation energy comes out at 0.116 eV/atom. The calculation puts the total energy at -7.015 eV/atom.

Record 6
This record from the Alexandria database describes a geometry-optimized Li6IrRh2 structure. The functional is PBE-GGA.

The structure belongs to space group C2/m (No. 12); the cell edges are 13.025, 7.510 and 2.472 Å and the angles 90.00°, 90.09° and 90.00°. The inequivalent atoms are Li at (0.000, 0.167, 0.000), Li at (0.166, 0.334, 0.003), Ir at (0.000, 0.500, 0.500) and Rh at (0.167, 0.000, 0.500).

The formation energy comes out at -0.172 eV/atom. The calculation puts the total energy at -4.066 eV/atom.

Record 7
This record from the Alexandria database describes a geometry-optimized Li2Ir2Rh15 structure. The functional is PBE-GGA.

The structure belongs to space group R-3m (No. 166, hexagonal axes); the cell edges are 8.6825, 8.6825 and 13.4726 Å and the angles 90.00°, 90.00° and 120.00°. The inequivalent atoms are Li at (0.0000, 0.0000, 0.0856), Ir at (0.0000, 0.0000, 0.2700), Rh at (0.0000, 0.3233, 0.0000), Rh at (0.0000, 0.5000, 0.5000) and Rh at (0.0047, 0.5023, 0.1569).

The formation energy comes out at 0.355 eV/atom. The calculation puts the total energy at -6.583 eV/atom.

Record 8
This record from the Alexandria database describes a geometry-optimized Li3IrRh2 structure. The functional is PBE-GGA.

The structure belongs to space group P6_3/mmc (No. 194); the cell edges are 4.6539, 4.6539 and 8.5029 Å and the angles 90.00°, 90.00° and 120.00°. The inequivalent atoms are Li at (0.1698, 0.3395, 0.2500), Ir at (0.0000, 0.0000, 0.0000) and Rh at (0.3333, 0.6667, 0.5215).

The formation energy comes out at -0.075 eV/atom. The calculation puts the total energy at -4.959 eV/atom.

Record 9
This record from the Alexandria database describes a geometry-optimized LiIr6Rh2 structure. The functional is PBE-GGA.

The structure belongs to space group P-1 (No. 2); the cell edges are 4.688, 7.139 and 8.479 Å and the angles 82.20°, 79.06° and 71.21°. The inequivalent atoms are Li at (0.075, 0.155, 0.030), Ir at (0.014, 0.054, 0.344), Ir at (0.129, 0.256, 0.717), Ir at (0.232, 0.475, 0.081), Ir at (0.289, 0.579, 0.764), Ir at (0.405, 0.791, 0.123), Ir at (0.450, 0.899, 0.803), Rh at (0.187, 0.362, 0.399) and Rh at (0.349, 0.696, 0.443).

The formation energy comes out at 0.043 eV/atom. The calculation puts the total energy at -7.710 eV/atom.

Record 10
This record from the Alexandria database describes a geometry-optimized Li3IrRh structure. The functional is PBE-GGA.

The structure belongs to space group Pm-3m (No. 221); the cell edges are 4.249, 4.249 and 4.249 Å and the angles 90.00°, 90.00° and 90.00°. The inequivalent atoms are Li at (0.000, 0.000, 0.500), Ir at (0.500, 0.500, 0.500) and Rh at (0.000, 0.000, 0.000).

The value obtained for the relative energy among the computed polymorphs is 0.7295 eV/atom. The formation energy comes out at 0.885 eV/atom. The calculation puts the total energy at -3.506 eV/atom.

Record 11
This record from the Alexandria database describes a geometry-optimized LiIr2Rh structure. The functional is PBE-GGA.

The structure belongs to space group P4/mmm (No. 123); the cell edges are 4.446, 4.446 and 2.809 Å and the angles 90.00°, 90.00° and 90.00°. The inequivalent atoms are Li at (0.000, 0.000, 0.000), Ir at (0.000, 0.500, 0.500) and Rh at (0.500, 0.500, 0.000).

The formation energy comes out at 0.146 eV/atom. The calculation puts the total energy at -6.600 eV/atom.

Record 12
This record from the Alexandria database describes a geometry-optimized LiIr5Rh4 structure. The functional is PBE-GGA.

The structure belongs to space group C2/m (No. 12); the cell edges are 11.659, 4.353 and 7.090 Å and the angles 90.00°, 123.50° and 90.00°. The inequivalent atoms are Li at (0.000, 0.000, 0.000), Ir at (0.000, 0.500, 0.500), Ir at (0.088, 0.500, 0.935), Ir at (0.121, 0.000, 0.744), Rh at (0.183, 0.500, 0.373) and Rh at (0.236, 0.000, 0.198).

The formation energy comes out at 0.233 eV/atom. The calculation puts the total energy at -7.330 eV/atom.

Record 13
This record from the Alexandria database describes a geometry-optimized Li4IrRh2 structure. The functional is PBE-GGA.

The structure belongs to space group R-3m (No. 166, hexagonal axes); the cell edges are 2.6941, 2.6941 and 46.7437 Å and the angles 90.00°, 90.00° and 120.00°. The inequivalent atoms are Li at (0.0000, 0.0000, 0.1376), Li at (0.0000, 0.0000, 0.2869), Ir at (0.0000, 0.0000, 0.0000) and Rh at (0.0000, 0.0000, 0.4266).

The formation energy comes out at -0.157 eV/atom. The calculation puts the total energy at -4.617 eV/atom.

Record 14
This record from the Alexandria database describes a geometry-optimized LiIr2Rh structure. The functional is PBE-GGA.

The structure belongs to space group R-3m (No. 166, hexagonal axes); the cell edges are 2.7026, 2.7026 and 26.8921 Å and the angles 90.00°, 90.00° and 120.00°. The inequivalent atoms are Li at (0.0000, 0.0000, 0.0000), Ir at (0.0000, 0.0000, 0.2499) and Rh at (0.0000, 0.0000, 0.5000).

The formation energy comes out at -0.002 eV/atom. The calculation puts the total energy at -6.749 eV/atom.

Record 15
This record from the Alexandria database describes a geometry-optimized LiIr2Rh structure. The functional is PBE-GGA.

The structure belongs to space group I-4m2 (No. 119); the cell edges are 3.797, 3.797 and 7.572 Å and the angles 90.00°, 90.00° and 90.00°. The inequivalent atoms are Li at (0.000, 0.000, 0.000), Ir at (0.000, 0.000, 0.500), Ir at (0.000, 0.500, 0.250) and Rh at (0.000, 0.500, 0.750).

The formation energy comes out at -0.076 eV/atom. The calculation puts the total energy at -6.823 eV/atom.

Record 16
This record from the Alexandria database describes a geometry-optimized LiIr2Rh structure. The functional is PBE-GGA.

The structure belongs to space group P4mm (No. 99); the cell edges are 2.771, 2.771 and 7.076 Å and the angles 90.00°, 90.00° and 90.00°. The inequivalent atoms are Li at (0.000, 0.000, 0.000), Ir at (0.000, 0.000, 0.499), Ir at (0.500, 0.500, 0.757) and Rh at (0.500, 0.500, 0.236).

The formation energy comes out at 0.005 eV/atom. The calculation puts the total energy at -6.742 eV/atom.

Record 17
This record from the Alexandria database describes a geometry-optimized LiIr2Rh structure. The functional is PBE-GGA.

The structure belongs to space group R3m (No. 160, hexagonal axes); the cell edges are 4.2708, 4.2708 and 10.5939 Å and the angles 90.00°, 90.00° and 120.00°. The inequivalent atoms are Li at (0.0000, 0.0000, 0.0000), Ir at (0.0000, 0.0000, 0.5006), Ir at (0.0000, 0.0000, 0.7466) and Rh at (0.0000, 0.0000, 0.2550).

The formation energy comes out at 0.123 eV/atom. The calculation puts the total energy at -6.624 eV/atom.

Record 18
This record from the Alexandria database describes a geometry-optimized Li6IrRh structure. The functional is PBE-GGA.

The structure belongs to space group P-1 (No. 2); the cell edges are 4.939, 4.950 and 4.966 Å and the angles 90.31°, 90.33° and 100.20°. The inequivalent atoms are Li at (0.007, 0.105, 0.254), Li at (0.140, 0.643, 0.250), Li at (0.397, 0.494, 0.746), Ir at (0.500, 0.000, 0.500) and Rh at (0.500, 0.000, 0.000).

The value obtained for the relative energy among the computed polymorphs is 0.0000 eV/atom. The formation energy comes out at -0.068 eV/atom. The calculation puts the total energy at -3.529 eV/atom.

Record 19
This record from the Alexandria database describes a geometry-optimized LiIr3Rh3 structure. The functional is PBE-GGA.

The structure belongs to space group P6_3/m (No. 176); the cell edges are 7.1673, 7.1673 and 4.3924 Å and the angles 90.00°, 90.00° and 120.00°. The inequivalent atoms are Li at (0.3333, 0.6667, 0.2500), Ir at (0.0957, 0.6135, 0.7500) and Rh at (0.0512, 0.8079, 0.2500).

The formation energy comes out at -0.018 eV/atom. The calculation puts the total energy at -7.239 eV/atom.

Record 20
This record from the Alexandria database describes a geometry-optimized Li4IrRh structure. The functional is PBE-GGA.

The structure belongs to space group F-43m (No. 216); the cell edges are 6.643, 6.643 and 6.643 Å and the angles 90.00°, 90.00° and 90.00°. The inequivalent atoms are Li at (0.124, 0.124, 0.124), Ir at (0.250, 0.250, 0.750) and Rh at (0.000, 0.000, 0.500).

The value obtained for the relative energy among the computed polymorphs is 0.2433 eV/atom. The formation energy comes out at 0.073 eV/atom. The calculation puts the total energy at -3.905 eV/atom.

Magnetization, record by record: 0.0; 0.0; 0.0; 0.0; 0.0; 0.0; 0.0; 0.0; 0.0; 0.4; 0.4; 0.0; 0.9; 0.0; 0.0; 0.0; 0.0; 0.0; 0.0; 1.2 μB per formula unit
DOS at the Fermi energy, record by record: 6.663; 24.547; 4.125; 12.315; 29.944; 9.827; 90.438; 12.698; 17.438; 4.936; 6.376; 26.089; 17.942; 15.614; 8.026; 3.790; 18.677; 3.803; 16.082; 17.101 states/eV per cell